DFT (GGA-PBE) results for KGeTe4 after structural relaxation.

Cell: 7.356 7.392 10.049 Å, 119.44 111.57 89.92°
Element x y z (fractional)
Ge  0.000  0.500  0.500
Ge  0.500  0.000  0.500
Te  0.091  0.074  0.430
Te  0.612  0.066  0.838
Te  0.228  0.567  0.839
Te  0.339  0.575  0.431
Te  0.388  0.934  0.162
Te  0.661  0.425  0.569
Te  0.909  0.926  0.570
Te  0.772  0.433  0.161
K  0.214  0.251  0.000
K  0.786  0.749  0.000

Summary:
Density of states at the Fermi level ... 7.46 states/eV/cell
ΔE to the lowest computed polymorph ... 5 meV/atom
Calculated total energy ... -39.23 eV per cell

DFT (GGA-PBE) results for La6Pr5Th2 after structural relaxation.

Cell: 3.680 11.879 21.586 Å, 90.00 90.00 90.00°
Element x y z (fractional)
Th  0.000  0.198  0.764
Th  0.000  0.698  0.736
Th  0.000  0.802  0.236
Th  0.000  0.302  0.264
Pr  0.500  0.000  0.500
Pr  0.500  0.190  0.915
Pr  0.500  0.810  0.085
Pr  0.500  0.946  0.794
Pr  0.500  0.690  0.585
Pr  0.500  0.310  0.415
Pr  0.500  0.054  0.206
Pr  0.500  0.446  0.706
Pr  0.500  0.500  0.000
Pr  0.500  0.554  0.294
La  0.500  0.186  0.626
La  0.000  0.065  0.354
La  0.000  0.435  0.854
La  0.000  0.917  0.940
La  0.500  0.314  0.126
La  0.000  0.565  0.146
La  0.000  0.935  0.646
La  0.000  0.583  0.440
La  0.000  0.083  0.060
La  0.000  0.417  0.560
La  0.500  0.686  0.874
La  0.500  0.814  0.374

Summary:
Formation energy from the elements ... 1.4 eV per formula unit
Density of states at the Fermi level ... 36.32 states/eV/cell
Calculated total energy ... -133.77 eV per cell

DFT (GGA-PBE) results for Mn2P2Os after structural relaxation.

Cell: 6.578 6.578 2.747 Å, 90.00 90.00 90.00°
Element x y z (fractional)
P  0.834  0.334  0.500
P  0.334  0.166  0.500
P  0.666  0.834  0.500
P  0.166  0.666  0.500
Os  0.000  0.000  0.000
Os  0.500  0.500  0.000
Mn  0.868  0.632  0.000
Mn  0.132  0.368  0.000
Mn  0.368  0.868  0.000
Mn  0.632  0.132  0.000

Summary:
Formation energy from the elements ... 0.7 eV per formula unit
Density of states at the Fermi level ... 15.14 states/eV/cell
ΔE to the lowest computed polymorph ... 324 meV/atom
Calculated total energy ... -79.40 eV per cell

DFT (GGA-PBE) results for CePm2YAs4 after structural relaxation.

Cell: 4.204 7.270 7.283 Å, 109.40 90.00 90.00°
Element x y z (fractional)
Pm  0.000  0.500  0.500
Pm  0.500  0.000  0.500
Y  0.000  0.000  0.000
As  0.500  0.248  0.244
As  0.000  0.251  0.755
As  0.500  0.752  0.756
As  0.000  0.749  0.245
Ce  0.500  0.500  0.000

Summary:
Formation energy from the elements ... -12.1 eV per formula unit
Density of states at the Fermi level ... 6.20 states/eV/cell
Calculated total energy ... -52.60 eV per cell

DFT (GGA-PBE) results for Sr2ZrCu after structural relaxation.

Cell: 5.467 5.467 5.467 Å, 60.00 60.00 60.00°
Element x y z (fractional)
Sr  0.750  0.750  0.750
Sr  0.000  0.000  0.000
Zr  0.250  0.250  0.250
Cu  0.500  0.500  0.500

Summary:
Formation energy from the elements ... 2.7 eV per formula unit
Density of states at the Fermi level ... 5.82 states/eV/cell
ΔE to the lowest computed polymorph ... 486 meV/atom
Calculated total energy ... -13.27 eV per cell

DFT (GGA-PBE) results for DySnH after structural relaxation.

Cell: 6.211 10.790 8.257 Å, 130.80 112.09 90.00°
Element x y z (fractional)
Sn  0.239  0.493  0.486
Sn  0.270  0.250  0.000
Sn  0.239  0.993  0.486
Sn  0.753  0.007  0.514
Sn  0.753  0.507  0.514
Sn  0.270  0.750  0.000
H  0.755  0.648  0.297
H  0.043  0.500  0.000
H  0.043  0.000  0.000
H  0.457  0.851  0.703
H  0.755  0.149  0.297
H  0.457  0.352  0.703
Dy  0.087  0.834  0.668
Dy  0.087  0.334  0.668
Dy  0.418  0.666  0.332
Dy  0.758  0.750  0.000
Dy  0.758  0.250  0.000
Dy  0.418  0.166  0.332

Summary:
Density of states at the Fermi level ... 4.20 states/eV/cell
ΔE to the lowest computed polymorph ... 217 meV/atom
Calculated total energy ... -79.00 eV per cell

> Look up the density of states at the Fermi level of the fifth one.

5.82 states/eV/cell

> What is the formula in the sixth record?

DySnH

> Look up the density of states at the Fermi level of the fifth one.

5.82 states/eV/cell

> Which value of density of states at the Fermi level does entry 3 give?

15.14 states/eV/cell